A plane-wave DFT calculation with GGA-PBE was carried out for crystalline RbLiZn2Mo at its relaxed geometry.

```
RbLiZn2Mo
1.0
6.212 0.000 0.000
0.000 6.212 0.000
0.000 0.000 6.647
Rb Li Zn Mo
1 1 2 1
direct
0.000 0.000 0.000 Rb
0.500 0.500 0.500 Li
0.000 0.500 0.000 Zn
0.500 0.000 0.000 Zn
0.000 0.000 0.500 Mo
```

* DOS at the Fermi energy: 0.614 states/eV per atom
* calculated formation energy: 165.1 kJ per mole of atoms
* space-group type: No. 123
* size of the total moment: 4.827 Bohr magnetons per cell


A plane-wave DFT calculation with GGA-PBE was carried out for crystalline MgTiBe2Si at its relaxed geometry.

```
MgTiBe2Si
1.0
4.203 0.000 0.000
0.000 4.203 0.000
0.000 0.000 4.919
Mg Ti Be Si
1 1 2 1
direct
0.000 0.000 0.000 Mg
0.000 0.000 0.500 Ti
0.000 0.500 0.000 Be
0.500 0.000 0.000 Be
0.500 0.500 0.500 Si
```

* total energy: -3.124 eV/atom
* DOS at the Fermi energy: 0.249 states/eV per atom
* space-group type: No. 123
* size of the total moment: 0.000 Bohr magnetons per cell


A plane-wave DFT calculation with GGA-PBE was carried out for crystalline Zr3MoPb at its relaxed geometry.

```
Zr3MoPb
1.0
5.266 0.000 0.000
0.000 5.266 0.000
0.000 0.000 5.266
Zr Mo Pb
3 1 1
direct
0.000 0.000 0.500 Zr
0.000 0.500 0.000 Zr
0.500 0.000 0.000 Zr
0.500 0.500 0.500 Mo
0.000 0.000 0.000 Pb
```

* excess energy over the best structure of this formula in the dataset: 113.15 kJ per mole of atoms
* DOS at the Fermi energy: 0.972 states/eV per atom
* calculated formation energy: 166.7 kJ per mole of atoms
* space-group type: No. 221
* size of the total moment: 0.000 Bohr magnetons per cell


A plane-wave DFT calculation with GGA-PBE was carried out for crystalline SiRuBr at its relaxed geometry.

```
SiRuBr
1.0
0.000 2.737 6.025
1.634 0.000 6.025
1.634 2.737 0.000
Si Ru Br
1 1 1
direct
0.000 0.000 0.000 Si
0.631 0.631 0.369 Ru
0.315 0.315 0.685 Br
```

* excess energy over the best structure of this formula in the dataset: 34.58 kJ per mole of atoms
* DOS at the Fermi energy: 0.627 states/eV per atom
* space-group type: No. 42
* size of the total moment: 0.000 Bohr magnetons per cell


A plane-wave DFT calculation with GGA-PBE was carried out for crystalline CsHg3H at its relaxed geometry.

```
CsHg3H
1.0
5.397 0.000 0.000
0.000 5.397 0.000
0.000 0.000 5.397
Cs Hg H
1 3 1
direct
0.000 0.000 0.000 Cs
0.000 0.500 0.500 Hg
0.500 0.000 0.500 Hg
0.500 0.500 0.000 Hg
0.500 0.500 0.500 H
```

* excess energy over the best structure of this formula in the dataset: 19.12 kJ per mole of atoms
* DOS at the Fermi energy: 0.290 states/eV per atom
* space-group type: No. 221
* size of the total moment: 0.000 Bohr magnetons per cell


A plane-wave DFT calculation with GGA-PBE was carried out for crystalline NdGdSnRh at its relaxed geometry.

```
NdGdSnRh
1.0
0.000 3.688 3.688
3.688 0.000 3.688
3.688 3.688 0.000
Nd Gd Sn Rh
1 1 1 1
direct
0.000 0.000 0.000 Nd
0.500 0.500 0.500 Gd
0.750 0.750 0.750 Sn
0.250 0.250 0.250 Rh
```

* DOS at the Fermi energy: 0.697 states/eV per atom
* calculated formation energy: -56.6 kJ per mole of atoms
* space-group type: No. 216
* size of the total moment: 7.063 Bohr magnetons per cell


A plane-wave DFT calculation with GGA-PBE was carried out for crystalline KTaBe2 at its relaxed geometry.

```
KTaBe2
1.0
2.902 0.000 0.000
0.000 3.922 0.000
-1.259 0.000 7.162
K Ta Be
1 1 2
direct
0.000 0.000 0.000 K
0.743 0.500 0.415 Ta
0.289 0.000 0.519 Be
0.355 0.500 0.674 Be
```

* excess energy over the best structure of this formula in the dataset: 7.34 kJ per mole of atoms
* DOS at the Fermi energy: 0.371 states/eV per atom
* calculated formation energy: 71.5 kJ per mole of atoms
* space-group type: No. 6
* size of the total moment: 0.000 Bohr magnetons per cell


A plane-wave DFT calculation with GGA-PBE was carried out for crystalline LiTlN3 at its relaxed geometry.

```
LiTlN3
1.0
4.363 0.000 0.000
0.000 4.363 0.000
0.000 0.000 4.363
Li Tl N
1 1 3
direct
0.000 0.000 0.000 Li
0.500 0.500 0.500 Tl
0.000 0.500 0.500 N
0.500 0.000 0.500 N
0.500 0.500 0.000 N
```

* total energy: -3.736 eV/atom
* DOS at the Fermi energy: 0.367 states/eV per atom
* space-group type: No. 221
* size of the total moment: 4.145 Bohr magnetons per cell


A plane-wave DFT calculation with GGA-PBE was carried out for crystalline MnSbH at its relaxed geometry.

```
MnSbH
1.0
9.342 -1.494 0.000
9.342 1.494 0.000
-0.457 0.000 2.954
Mn Sb H
2 2 2
direct
0.000 0.000 0.000 Mn
0.572 0.572 0.569 Mn
0.406 0.406 0.410 Sb
0.722 0.722 0.712 Sb
0.111 0.111 0.607 H
0.611 0.611 0.107 H
```

* excess energy over the best structure of this formula in the dataset: 13.75 kJ per mole of atoms
* DOS at the Fermi energy: 0.577 states/eV per atom
* space-group type: No. 8
* size of the total moment: 0.000 Bohr magnetons per cell


A plane-wave DFT calculation with GGA-PBE was carried out for crystalline Nd3Si2Ge at its relaxed geometry.

```
Nd3Si2Ge
1.0
11.936 0.000 0.000
0.000 4.191 0.000
0.000 0.000 12.031
Nd Si Ge
12 8 4
direct
0.060 0.250 0.121 Nd
0.119 0.750 0.558 Nd
0.202 0.250 0.797 Nd
0.298 0.750 0.297 Nd
0.381 0.250 0.058 Nd
0.440 0.750 0.621 Nd
0.560 0.250 0.379 Nd
0.619 0.750 0.942 Nd
0.702 0.250 0.703 Nd
0.798 0.750 0.203 Nd
0.881 0.250 0.442 Nd
0.940 0.750 0.879 Nd
0.023 0.750 0.310 Si
0.190 0.750 0.991 Si
0.310 0.250 0.491 Si
0.477 0.250 0.810 Si
0.523 0.750 0.190 Si
0.690 0.750 0.509 Si
0.810 0.250 0.009 Si
0.977 0.250 0.690 Si
0.132 0.250 0.370 Ge
0.368 0.750 0.870 Ge
0.632 0.250 0.130 Ge
0.868 0.750 0.630 Ge
```

* total energy: -5.617 eV/atom
* DOS at the Fermi energy: 0.755 states/eV per atom
* space-group type: No. 62
* size of the total moment: 1.667 Bohr magnetons per cell


A plane-wave DFT calculation with GGA-PBE was carried out for crystalline Na3In5Te12 at its relaxed geometry.

```
Na3In5Te12
1.0
-8.911 8.911 8.911
8.911 -8.911 8.911
8.911 8.911 -8.911
Na In Te
12 20 48
direct
0.125 0.250 0.375 Na
0.125 0.375 0.750 Na
0.250 0.375 0.125 Na
0.250 0.875 0.625 Na
0.375 0.125 0.250 Na
0.375 0.750 0.125 Na
0.625 0.250 0.875 Na
0.625 0.875 0.750 Na
0.750 0.125 0.375 Na
0.750 0.625 0.875 Na
0.875 0.625 0.250 Na
0.875 0.750 0.625 Na
0.000 0.000 0.000 In
0.000 0.000 0.500 In
0.000 0.500 0.000 In
0.000 0.500 0.500 In
0.125 0.750 0.875 In
0.125 0.875 0.250 In
0.250 0.125 0.875 In
0.250 0.625 0.375 In
0.375 0.250 0.625 In
0.375 0.625 0.750 In
0.500 0.000 0.000 In
0.500 0.000 0.500 In
0.500 0.500 0.000 In
0.500 0.500 0.500 In
0.625 0.375 0.250 In
0.625 0.750 0.375 In
0.750 0.375 0.625 In
0.750 0.875 0.125 In
0.875 0.125 0.750 In
0.875 0.250 0.125 In
0.046 0.221 0.122 Te
0.046 0.325 0.924 Te
0.076 0.622 0.402 Te
0.076 0.954 0.675 Te
0.098 0.721 0.675 Te
0.098 0.878 0.424 Te
0.122 0.046 0.221 Te
0.122 0.576 0.902 Te
0.175 0.221 0.598 Te
0.175 0.454 0.576 Te
0.221 0.122 0.046 Te
0.221 0.598 0.175 Te
0.279 0.325 0.902 Te
0.279 0.454 0.378 Te
0.325 0.902 0.279 Te
0.325 0.924 0.046 Te
0.378 0.279 0.454 Te
0.378 0.598 0.924 Te
0.402 0.076 0.622 Te
0.402 0.825 0.779 Te
0.424 0.098 0.878 Te
0.424 0.825 0.546 Te
0.454 0.378 0.279 Te
0.454 0.576 0.175 Te
0.546 0.424 0.825 Te
0.546 0.622 0.721 Te
0.576 0.175 0.454 Te
0.576 0.902 0.122 Te
0.598 0.175 0.221 Te
0.598 0.924 0.378 Te
0.622 0.402 0.076 Te
0.622 0.721 0.546 Te
0.675 0.076 0.954 Te
0.675 0.098 0.721 Te
0.721 0.546 0.622 Te
0.721 0.675 0.098 Te
0.779 0.402 0.825 Te
0.779 0.878 0.954 Te
0.825 0.546 0.424 Te
0.825 0.779 0.402 Te
0.878 0.424 0.098 Te
0.878 0.954 0.779 Te
0.902 0.122 0.576 Te
0.902 0.279 0.325 Te
0.924 0.046 0.325 Te
0.924 0.378 0.598 Te
0.954 0.675 0.076 Te
0.954 0.779 0.878 Te
```

* total energy: -2.984 eV/atom
* DOS at the Fermi energy: 0.892 states/eV per atom
* space-group type: No. 230
* size of the total moment: 0.000 Bohr magnetons per cell


A plane-wave DFT calculation with GGA-PBE was carried out for crystalline CsZrIr3 at its relaxed geometry.

```
CsZrIr3
1.0
5.085 0.000 0.000
0.000 5.085 0.000
0.000 0.000 5.085
Cs Zr Ir
1 1 3
direct
0.000 0.000 0.000 Cs
0.500 0.500 0.500 Zr
0.000 0.500 0.500 Ir
0.500 0.000 0.500 Ir
0.500 0.500 0.000 Ir
```

* excess energy over the best structure of this formula in the dataset: 0.00 kJ per mole of atoms
* DOS at the Fermi energy: 1.177 states/eV per atom
* calculated formation energy: 129.0 kJ per mole of atoms
* space-group type: No. 221
* size of the total moment: 1.187 Bohr magnetons per cell


A plane-wave DFT calculation with GGA-PBE was carried out for crystalline CoRuI3 at its relaxed geometry.

```
CoRuI3
1.0
5.229 0.000 0.000
0.000 5.229 0.000
0.000 0.000 5.229
Co Ru I
1 1 3
direct
0.000 0.000 0.000 Co
0.500 0.500 0.500 Ru
0.000 0.000 0.500 I
0.000 0.500 0.000 I
0.500 0.000 0.000 I
```

* excess energy over the best structure of this formula in the dataset: 8.72 kJ per mole of atoms
* DOS at the Fermi energy: 1.697 states/eV per atom
* space-group type: No. 221
* size of the total moment: 4.633 Bohr magnetons per cell


A plane-wave DFT calculation with GGA-PBE was carried out for crystalline Dy6HgAu5 at its relaxed geometry.

```
Dy6HgAu5
1.0
4.420 -7.693 0.000
4.420 7.693 0.000
-2.962 0.000 4.180
Dy Hg Au
6 1 5
direct
0.077 0.416 0.747 Dy
0.243 0.243 0.243 Dy
0.416 0.077 0.747 Dy
0.584 0.923 0.253 Dy
0.757 0.757 0.757 Dy
0.923 0.584 0.253 Dy
0.500 0.500 0.000 Hg
0.000 0.000 0.500 Au
0.167 0.833 0.000 Au
0.339 0.661 0.500 Au
0.661 0.339 0.500 Au
0.833 0.167 0.000 Au
```

* DOS at the Fermi energy: 0.468 states/eV per atom
* calculated formation energy: -77.0 kJ per mole of atoms
* space-group type: No. 12
* size of the total moment: 0.000 Bohr magnetons per cell


A plane-wave DFT calculation with GGA-PBE was carried out for crystalline SmY6Er8 at its relaxed geometry.

```
SmY6Er8
1.0
4.507 2.602 6.827
-4.507 2.602 6.827
0.000 -5.204 6.827
Sm Y Er
1 6 8
direct
0.000 0.000 0.000 Sm
0.110 0.228 0.539 Y
0.228 0.539 0.110 Y
0.461 0.890 0.772 Y
0.539 0.110 0.228 Y
0.772 0.461 0.890 Y
0.890 0.772 0.461 Y
0.110 0.744 0.720 Er
0.256 0.280 0.890 Er
0.280 0.890 0.256 Er
0.424 0.424 0.424 Er
0.576 0.576 0.576 Er
0.720 0.110 0.744 Er
0.744 0.720 0.110 Er
0.890 0.256 0.280 Er
```

* DOS at the Fermi energy: 1.542 states/eV per atom
* calculated formation energy: 12.3 kJ per mole of atoms
* space-group type: No. 148
* size of the total moment: 0.000 Bohr magnetons per cell


A plane-wave DFT calculation with GGA-PBE was carried out for crystalline Ce8Pt3Rh2 at its relaxed geometry.

```
Ce8Pt3Rh2
1.0
6.719 -4.434 0.000
6.719 4.434 0.000
-1.018 0.000 5.240
Ce Pt Rh
8 3 2
direct
0.095 0.667 0.962 Ce
0.147 0.147 0.441 Ce
0.333 0.905 0.038 Ce
0.362 0.362 0.468 Ce
0.638 0.638 0.532 Ce
0.667 0.095 0.962 Ce
0.853 0.853 0.559 Ce
0.905 0.333 0.038 Ce
0.240 0.760 0.500 Pt
0.500 0.500 0.000 Pt
0.760 0.240 0.500 Pt
0.268 0.268 0.951 Rh
0.732 0.732 0.049 Rh
```

* DOS at the Fermi energy: 2.187 states/eV per atom
* calculated formation energy: -60.2 kJ per mole of atoms
* space-group type: No. 12
* size of the total moment: 0.003 Bohr magnetons per cell


A plane-wave DFT calculation with GGA-PBE was carried out for crystalline MoS at its relaxed geometry.

```
MoS
1.0
6.561 0.000 0.000
0.000 6.561 0.000
0.000 0.000 6.561
Mo S
6 6
direct
0.000 0.250 0.500 Mo
0.000 0.750 0.500 Mo
0.250 0.500 0.000 Mo
0.500 0.000 0.250 Mo
0.500 0.000 0.750 Mo
0.750 0.500 0.000 Mo
0.000 0.500 0.250 S
0.000 0.500 0.750 S
0.250 0.000 0.500 S
0.500 0.250 0.000 S
0.500 0.750 0.000 S
0.750 0.000 0.500 S
```

* excess energy over the best structure of this formula in the dataset: 61.33 kJ per mole of atoms
* DOS at the Fermi energy: 0.769 states/eV per atom
* space-group type: No. 223
* size of the total moment: 4.012 Bohr magnetons per cell


A plane-wave DFT calculation with GGA-PBE was carried out for crystalline Al2Tl3Se4 at its relaxed geometry.

```
Al2Tl3Se4
1.0
7.987 -5.348 0.000
7.987 5.348 0.000
-1.075 0.000 6.504
Al Tl Se
4 6 8
direct
0.112 0.347 0.073 Al
0.347 0.112 0.573 Al
0.653 0.888 0.427 Al
0.888 0.653 0.927 Al
0.035 0.965 0.250 Tl
0.226 0.596 0.539 Tl
0.404 0.774 0.961 Tl
0.596 0.226 0.039 Tl
0.774 0.404 0.461 Tl
0.965 0.035 0.750 Tl
0.123 0.298 0.428 Se
0.154 0.577 0.047 Se
0.298 0.123 0.928 Se
0.423 0.846 0.453 Se
0.577 0.154 0.547 Se
0.702 0.877 0.072 Se
0.846 0.423 0.953 Se
0.877 0.702 0.572 Se
```

* total energy: -3.781 eV/atom
* DOS at the Fermi energy: 0.181 states/eV per atom
* space-group type: No. 15
* size of the total moment: 0.000 Bohr magnetons per cell


A plane-wave DFT calculation with GGA-PBE was carried out for crystalline NaCaSn2Cl at its relaxed geometry.

```
NaCaSn2Cl
1.0
6.196 0.000 0.000
0.000 6.196 0.000
0.000 0.000 5.135
Na Ca Sn Cl
1 1 2 1
direct
0.000 0.000 0.000 Na
0.500 0.500 0.500 Ca
0.000 0.500 0.500 Sn
0.500 0.000 0.500 Sn
0.500 0.500 0.000 Cl
```

* total energy: -2.787 eV/atom
* DOS at the Fermi energy: 1.153 states/eV per atom
* space-group type: No. 123
* size of the total moment: 0.750 Bohr magnetons per cell


A plane-wave DFT calculation with GGA-PBE was carried out for crystalline DyFe3As3 at its relaxed geometry.

```
DyFe3As3
1.0
6.406 0.000 0.000
0.000 6.406 0.000
0.000 0.000 6.406
Dy Fe As
2 6 6
direct
0.000 0.000 0.000 Dy
0.500 0.500 0.500 Dy
0.000 0.250 0.500 Fe
0.000 0.750 0.500 Fe
0.250 0.500 0.000 Fe
0.500 0.000 0.250 Fe
0.500 0.000 0.750 Fe
0.750 0.500 0.000 Fe
0.000 0.500 0.250 As
0.000 0.500 0.750 As
0.250 0.000 0.500 As
0.500 0.250 0.000 As
0.500 0.750 0.000 As
0.750 0.000 0.500 As
```

* DOS at the Fermi energy: 1.249 states/eV per atom
* calculated formation energy: 0.0 kJ per mole of atoms
* space-group type: No. 223
* size of the total moment: 7.848 Bohr magnetons per cell